## PrNd2Ag2 (GGA-PBE)

Data for crystalline PrNd2Ag2 at its relaxed geometry.

Lattice parameters (Å, degrees): 5.067 5.067 6.500 107.21 107.21 87.17
Fractional positions:
1 Pr 0.000 0.000 0.000
2 Nd 0.254 0.746 0.500
3 Nd 0.746 0.254 0.500
4 Ag 0.344 0.344 0.801
5 Ag 0.656 0.656 0.199

## Properties
SG: C2/m, No. 12
ΔH_f (0 K): -0.018 eV/atom
distance to the lowest polymorph of the same formula: 0.830 eV per formula unit
crystal system: monoclinic
ρ: 7.0 g/cm3
calculated volume: 152.2 Å³/cell



## AcPmHg3 (GGA-PBE)

Data for crystalline AcPmHg3 at its relaxed geometry.

Lattice parameters (Å, degrees): 15.081 15.081 5.059 90.00 90.00 165.31
Fractional positions:
1 Ac 0.076 0.924 0.750
2 Ac 0.924 0.076 0.250
3 Pm 0.209 0.791 0.250
4 Pm 0.791 0.209 0.750
5 Hg 0.316 0.684 0.250
6 Hg 0.376 0.624 0.750
7 Hg 0.475 0.525 0.750
8 Hg 0.525 0.475 0.250
9 Hg 0.624 0.376 0.250
10 Hg 0.684 0.316 0.750

## Properties
SG: Cmcm, No. 63
ΔH_f (0 K): -0.452 eV/atom
distance to the lowest polymorph of the same formula: 0.000 eV per formula unit
crystal system: orthorhombic
ρ: 11.1 g/cm3
calculated volume: 291.8 Å³/cell



## Cs3Sm2PuSe6 (GGA-PBE)

Data for crystalline Cs3Sm2PuSe6 at its relaxed geometry.

Lattice parameters (Å, degrees): 7.556 7.556 8.738 98.28 98.28 120.00
Fractional positions:
1 Cs 0.000 0.000 0.000
2 Cs 0.332 0.668 0.000
3 Cs 0.668 0.332 0.000
4 Sm 0.167 0.833 0.500
5 Sm 0.833 0.167 0.500
6 Pu 0.500 0.500 0.500
7 Se 0.105 0.438 0.313
8 Se 0.230 0.230 0.688
9 Se 0.438 0.105 0.313
10 Se 0.562 0.895 0.687
11 Se 0.770 0.770 0.312
12 Se 0.895 0.562 0.687

## Properties
raw formation energy: -37.3 kcal/mol of atoms
SG: C2/m, No. 12
crystal system: monoclinic
ρ: 5.7 g/cm3
calculated volume: 413.8 Å³/cell



## Mg2Pa (GGA-PBE)

Data for crystalline Mg2Pa at its relaxed geometry.

Lattice parameters (Å, degrees): 7.899 7.899 7.899 157.83 157.83 31.55
Fractional positions:
1 Mg 0.171 0.171 0.000
2 Mg 0.829 0.829 0.000
3 Pa 0.500 0.500 0.000

## Properties
SG: I4/mmm, No. 139
ΔH_f (0 K): 0.171 eV/atom
crystal system: tetragonal
ρ: 6.6 g/cm3
calculated volume: 70.1 Å³/cell



## Tm3HgPb12 (GGA-PBE)

Data for crystalline Tm3HgPb12 at its relaxed geometry.

Lattice parameters (Å, degrees): 4.781 4.781 20.441 90.00 90.00 90.00
Fractional positions:
1 Tm 0.000 0.000 0.000
2 Tm 0.000 0.000 0.238
3 Tm 0.000 0.000 0.762
4 Hg 0.000 0.000 0.500
5 Pb 0.000 0.500 0.122
6 Pb 0.000 0.500 0.369
7 Pb 0.000 0.500 0.631
8 Pb 0.000 0.500 0.878
9 Pb 0.500 0.000 0.122
10 Pb 0.500 0.000 0.369
11 Pb 0.500 0.000 0.631
12 Pb 0.500 0.000 0.878
13 Pb 0.500 0.500 0.000
14 Pb 0.500 0.500 0.248
15 Pb 0.500 0.500 0.500
16 Pb 0.500 0.500 0.752

## Properties
SG: P4/mmm, No. 123
ΔH_f (0 K): -0.156 eV/atom
crystal system: tetragonal
ρ: 11.4 g/cm3
calculated volume: 467.2 Å³/cell



## AcSiGePt3 (GGA-PBE)

Data for crystalline AcSiGePt3 at its relaxed geometry.

Lattice parameters (Å, degrees): 7.831 7.831 6.237 90.00 90.00 135.47
Fractional positions:
1 Ac 0.202 0.798 0.750
2 Ac 0.798 0.202 0.250
3 Si 0.421 0.579 0.250
4 Si 0.579 0.421 0.750
5 Ge 0.088 0.912 0.250
6 Ge 0.912 0.088 0.750
7 Pt 0.254 0.254 0.000
8 Pt 0.254 0.254 0.500
9 Pt 0.258 0.742 0.250
10 Pt 0.742 0.258 0.750
11 Pt 0.746 0.746 0.000
12 Pt 0.746 0.746 0.500

## Properties
raw formation energy: -19.3 kcal/mol of atoms
SG: Cmcm, No. 63
crystal system: orthorhombic
ρ: 11.3 g/cm3
calculated volume: 268.2 Å³/cell



## Tl6RuBr12 (GGA-PBE)

Data for crystalline Tl6RuBr12 at its relaxed geometry.

Lattice parameters (Å, degrees): 9.036 9.036 9.036 90.69 90.69 90.69
Fractional positions:
1 Tl 0.146 0.342 0.813
2 Tl 0.187 0.854 0.658
3 Tl 0.342 0.813 0.146
4 Tl 0.658 0.187 0.854
5 Tl 0.813 0.146 0.342
6 Tl 0.854 0.658 0.187
7 Ru 0.500 0.500 0.500
8 Br 0.070 0.914 0.325
9 Br 0.086 0.675 0.930
10 Br 0.223 0.505 0.493
11 Br 0.325 0.070 0.914
12 Br 0.493 0.223 0.505
13 Br 0.495 0.507 0.777
14 Br 0.505 0.493 0.223
15 Br 0.507 0.777 0.495
16 Br 0.675 0.930 0.086
17 Br 0.777 0.495 0.507
18 Br 0.914 0.325 0.070
19 Br 0.930 0.086 0.675

## Properties
raw formation energy: -13.1 kcal/mol of atoms
SG: R-3, No. 148
crystal system: trigonal
ρ: 5.1 g/cm3
calculated volume: 737.5 Å³/cell



## BaSnHg3 (GGA-PBE)

Data for crystalline BaSnHg3 at its relaxed geometry.

Lattice parameters (Å, degrees): 6.682 7.024 7.039 90.00 113.26 90.00
Fractional positions:
1 Ba 0.238 0.250 0.286
2 Ba 0.762 0.750 0.714
3 Sn 0.334 0.750 0.138
4 Sn 0.666 0.250 0.862
5 Hg 0.162 0.750 0.454
6 Hg 0.254 0.027 0.798
7 Hg 0.254 0.473 0.798
8 Hg 0.746 0.527 0.202
9 Hg 0.746 0.973 0.202
10 Hg 0.838 0.250 0.546

## Properties
SG: P2_1/m, No. 11
ΔH_f (0 K): -0.383 eV/atom
distance to the lowest polymorph of the same formula: 0.000 eV per formula unit
crystal system: monoclinic
ρ: 9.4 g/cm3
calculated volume: 303.5 Å³/cell



## InIr (GGA-PBE)

Data for crystalline InIr at its relaxed geometry.

Lattice parameters (Å, degrees): 5.627 5.627 6.777 104.73 104.73 31.00
Fractional positions:
1 In 0.000 0.000 0.000
2 In 0.047 0.047 0.550
3 In 0.314 0.314 0.630
4 Ir 0.369 0.369 0.255
5 Ir 0.664 0.664 0.290
6 Ir 0.717 0.717 0.900

## Properties
SG: Cm, No. 8
ΔH_f (0 K): 0.153 eV/atom
crystal system: monoclinic
ρ: 14.3 g/cm3
calculated volume: 106.6 Å³/cell



## Cd2Ru2O7 (GGA-PBE)

Data for crystalline Cd2Ru2O7 at its relaxed geometry.

Lattice parameters (Å, degrees): 7.252 7.252 7.252 60.00 60.00 60.00
Fractional positions:
1 Cd 0.000 0.000 0.000
2 Cd 0.000 0.000 0.500
3 Cd 0.000 0.500 0.000
4 Cd 0.500 0.000 0.000
5 Ru 0.000 0.500 0.500
6 Ru 0.500 0.000 0.500
7 Ru 0.500 0.500 0.000
8 Ru 0.500 0.500 0.500
9 O 0.125 0.125 0.125
10 O 0.181 0.181 0.569
11 O 0.181 0.569 0.181
12 O 0.181 0.569 0.569
13 O 0.431 0.431 0.819
14 O 0.431 0.819 0.431
15 O 0.431 0.819 0.819
16 O 0.569 0.181 0.181
17 O 0.569 0.181 0.569
18 O 0.569 0.569 0.181
19 O 0.819 0.431 0.431
20 O 0.819 0.431 0.819
21 O 0.819 0.819 0.431
22 O 0.875 0.875 0.875

## Properties
raw formation energy: -22.2 kcal/mol of atoms
SG: Fd-3m, No. 227
crystal system: cubic
ρ: 6.6 g/cm3
calculated volume: 269.7 Å³/cell